(1)
Density functional theory data (PBE-GGA) for crystalline Li3TlF6 at its relaxed geometry.

Results
E_form (uncorrected) ... -213.6 kJ per mole of atoms
E_tot ... -165.9 eV for the cell shown

The structure in CIF format:
```
data_Li3TlF6
_symmetry_space_group_name_H-M 'F m -3 m'
_symmetry_Int_Tables_number 225
_symmetry_space_group_name_Hall '-F 4 2 3'
_cell_length_a 8.266
_cell_length_b 8.266
_cell_length_c 8.266
_cell_angle_alpha 90.00
_cell_angle_beta 90.00
_cell_angle_gamma 90.00
loop_
_atom_site_label
_atom_site_fract_x
_atom_site_fract_y
_atom_site_fract_z
Li1 0.000 0.000 0.000
Li2 0.250 0.250 0.250
Tl1 0.000 0.000 0.500
F1 0.000 0.000 0.239
```


(2)
Density functional theory data (PBE-GGA) for crystalline Li5Tl3F12 at its relaxed geometry.

Results
E_form (uncorrected) ... -225.9 kJ per mole of atoms
E_tot ... -687.6 eV for the cell shown

The structure in CIF format:
```
data_Li5Tl3F12
_symmetry_space_group_name_H-M 'I a -3 d'
_symmetry_Int_Tables_number 230
_symmetry_space_group_name_Hall '-I 4bd 2c 3'
_cell_length_a 12.662
_cell_length_b 12.662
_cell_length_c 12.662
_cell_angle_alpha 90.00
_cell_angle_beta 90.00
_cell_angle_gamma 90.00
loop_
_atom_site_label
_atom_site_fract_x
_atom_site_fract_y
_atom_site_fract_z
Li1 0.000 0.000 0.000
Li2 0.000 0.250 0.375
Tl1 0.000 0.250 0.125
F1 0.027 0.058 0.652
```


(3)
Density functional theory data (PBE-GGA) for crystalline LiTl2F at its relaxed geometry.

Results
E_form (uncorrected) ... -71.4 kJ per mole of atoms
E_tot ... -45.9 eV for the cell shown

The structure in CIF format:
```
data_LiTl2F
_symmetry_space_group_name_H-M 'I -4 2 d'
_symmetry_Int_Tables_number 122
_symmetry_space_group_name_Hall 'I -4 2bw'
_cell_length_a 7.608
_cell_length_b 7.608
_cell_length_c 6.438
_cell_angle_alpha 90.00
_cell_angle_beta 90.00
_cell_angle_gamma 90.00
loop_
_atom_site_label
_atom_site_fract_x
_atom_site_fract_y
_atom_site_fract_z
Li1 0.000 0.000 0.000
Tl1 0.213 0.750 0.625
F1 0.000 0.000 0.500
```


(4)
Density functional theory data (PBE-GGA) for crystalline Li2Tl2F at its relaxed geometry.

Results
E_form (uncorrected) ... -97.0 kJ per mole of atoms
E_tot ... -15.5 eV for the cell shown

The structure in CIF format:
```
data_Li2Tl2F
_symmetry_space_group_name_H-M 'P m m 2'
_symmetry_Int_Tables_number 25
_cell_length_a 3.001
_cell_length_b 12.037
_cell_length_c 3.001
_cell_angle_alpha 90.00
_cell_angle_beta 90.00
_cell_angle_gamma 90.00
loop_
_symmetry_equiv_pos_as_xyz
'x,y,z'
'-x,-y,z'
'-x,y,z'
'x,-y,z'
loop_
_atom_site_label
_atom_site_fract_x
_atom_site_fract_y
_atom_site_fract_z
Li1 0.000 0.000 0.000
Li2 0.000 0.500 0.017
Tl1 0.500 0.207 0.500
F1 0.500 0.500 0.518
```


(5)
Density functional theory data (PBE-GGA) for crystalline Li2TlF4 at its relaxed geometry.

Results
E_form (uncorrected) ... -223.0 kJ per mole of atoms
E_tot ... -29.9 eV for the cell shown

The structure in CIF format:
```
data_Li2TlF4
_symmetry_space_group_name_H-M 'P -4 2 m'
_symmetry_Int_Tables_number 111
_cell_length_a 4.433
_cell_length_b 4.433
_cell_length_c 5.536
_cell_angle_alpha 90.00
_cell_angle_beta 90.00
_cell_angle_gamma 90.00
loop_
_symmetry_equiv_pos_as_xyz
'x,y,z'
'y,-x,-z'
'-x,-y,z'
'-y,x,-z'
'x,-y,-z'
'y,x,z'
'-x,y,-z'
'-y,-x,z'
loop_
_atom_site_label
_atom_site_fract_x
_atom_site_fract_y
_atom_site_fract_z
Li1 0.000 0.500 0.000
Tl1 0.000 0.000 0.500
F1 0.252 0.252 0.803
```


(6)
Density functional theory data (PBE-GGA) for crystalline LiTl3F4 at its relaxed geometry.

Results
E_form (uncorrected) ... -194.8 kJ per mole of atoms
E_tot ... -65.3 eV for the cell shown

The structure in CIF format:
```
data_LiTl3F4
_symmetry_space_group_name_H-M 'P m n 21'
_symmetry_Int_Tables_number 31
_cell_length_a 8.447
_cell_length_b 6.162
_cell_length_c 6.487
_cell_angle_alpha 90.00
_cell_angle_beta 90.00
_cell_angle_gamma 90.00
loop_
_symmetry_equiv_pos_as_xyz
'x,y,z'
'-x+1/2,-y,z+1/2'
'-x,y,z'
'x+1/2,-y,z+1/2'
loop_
_atom_site_label
_atom_site_fract_x
_atom_site_fract_y
_atom_site_fract_z
Li1 0.000 0.243 0.000
Tl1 0.000 0.721 0.462
Tl2 0.230 0.775 0.981
F1 0.000 0.515 0.137
F2 0.000 0.986 0.169
F3 0.194 0.206 0.852
```